# 1
The following is a DFT calculation (GGA-PBE) of an optimized crystal structure of TaZnCr2.

Cell lengths 4.929, 4.929, 4.929 Å; angles 142.54, 128.57, 65.34 degrees
Element x y z (fractional)
Ta 0.000 0.000 0.000
Zn 0.500 0.500 0.000
Cr 0.246 0.746 0.500
Cr 0.754 0.254 0.500

Values from the calculation:
- ΔE_f (eV per atom) = 0.26
- SG = Immm
- uncorrected energy (eV/atom) = -7.830
- total moment (μB per formula unit) = 0.0

***

# 2
The following is a DFT calculation (GGA-PBE) of an optimized crystal structure of LaDyEr2.

Cell lengths 11.779, 11.779, 11.779 Å; angles 17.49, 17.49, 17.49 degrees
Element x y z (fractional)
La 0.000 0.000 0.000
Dy 0.500 0.500 0.500
Er 0.248 0.248 0.248
Er 0.752 0.752 0.752

Values from the calculation:
- ΔE_f (eV per atom) = 0.02
- ΔE to the lowest computed polymorph (meV per atom) = 12
- SG = R-3m
- uncorrected energy (eV/atom) = -4.640
- total moment (μB per formula unit) = 0.0

***

# 3
The following is a DFT calculation (GGA-PBE) of an optimized crystal structure of La2Dy3Ni2.

Cell lengths 6.455, 6.455, 9.151 Å; angles 115.22, 115.22, 32.88 degrees
Element x y z (fractional)
La 0.167 0.167 0.310
La 0.833 0.833 0.690
Dy 0.383 0.383 0.071
Dy 0.500 0.500 0.500
Dy 0.617 0.617 0.929
Ni 0.168 0.168 0.740
Ni 0.832 0.832 0.260

Values from the calculation:
- ΔE_f (eV per atom) = -0.24
- SG = C2/m
- uncorrected energy (eV/atom) = -5.269
- total moment (μB per formula unit) = 0.0

***

# 4
The following is a DFT calculation (GGA-PBE) of an optimized crystal structure of CaLaMnRu2.

Cell lengths 4.757, 4.757, 5.352 Å; angles 90.00, 90.00, 90.00 degrees
Element x y z (fractional)
Ca 0.000 0.000 0.000
La 0.000 0.000 0.500
Mn 0.500 0.500 0.000
Ru 0.000 0.500 0.500
Ru 0.500 0.000 0.500

Values from the calculation:
- ΔE_f (eV per atom) = 1.84
- SG = P4/mmm
- uncorrected energy (eV/atom) = -5.090
- total moment (μB per formula unit) = 0.0